#i
The following is a DFT calculation (PBE) of a relaxed structure of Pm2CdTc.

Cell: 3.576 3.576 7.825 Å, 90.00 90.00 90.00°
Positions (direct):
1 Pm 0.000 0.000 0.214
2 Pm 0.000 0.000 0.786
3 Cd 0.500 0.500 0.500
4 Tc 0.500 0.500 0.000

Computed properties:
DOS(E_F) = 0.9071 states/eV/atom
Mass density = 8.30 g/cm3

#ii
The following is a DFT calculation (PBE) of a relaxed structure of Pm2CdTc.

Cell: 5.165 5.165 5.165 Å, 60.00 60.00 60.00°
Positions (direct):
1 Pm 0.250 0.250 0.250
2 Pm 0.750 0.750 0.750
3 Cd 0.000 0.000 0.000
4 Tc 0.500 0.500 0.500

Computed properties:
DOS(E_F) = 0.4506 states/eV/atom
Mass density = 8.53 g/cm3

#iii
The following is a DFT calculation (PBE) of a relaxed structure of Pm2CdTc.

Cell: 11.211 11.211 11.211 Å, 16.68 16.68 16.68°
Positions (direct):
1 Pm 0.080 0.080 0.080
2 Pm 0.920 0.920 0.920
3 Cd 0.500 0.500 0.500
4 Tc 0.000 0.000 0.000

Computed properties:
DOS(E_F) = 1.1182 states/eV/atom
Mass density = 8.21 g/cm3

Most stable structure: #i